# CsRbZn (PBE, relaxed)
data_CsRbZn
_symmetry_space_group_name_H-M 'I 4 m m'
_symmetry_Int_Tables_number 107
_symmetry_space_group_name_Hall 'I 4 -2'
_cell_length_a 4.684
_cell_length_b 4.684
_cell_length_c 16.857
_cell_angle_alpha 90.00
_cell_angle_beta 90.00
_cell_angle_gamma 90.00
loop_
_atom_site_label
_atom_site_type_symbol
_atom_site_fract_x
_atom_site_fract_y
_atom_site_fract_z
_atom_site_occupancy
Cs1 Cs 0.000 0.000 0.000 1
Rb1 Rb 0.000 0.000 0.259 1
Zn1 Zn 0.000 0.000 0.634 1
# total energy: -0.876 eV per atom
# spin magnetization: 0.00 μB per atom
# ΔE to the lowest computed polymorph: 0.161 eV/f.u.
# E_form: 0.156 eV per atom

=====

# Sn3HgS (PBE, relaxed)
data_Sn3HgS
_symmetry_space_group_name_H-M 'P m -3 m'
_symmetry_Int_Tables_number 221
_symmetry_space_group_name_Hall '-P 4 2 3'
_cell_length_a 5.390
_cell_length_b 5.390
_cell_length_c 5.390
_cell_angle_alpha 90.00
_cell_angle_beta 90.00
_cell_angle_gamma 90.00
loop_
_atom_site_label
_atom_site_type_symbol
_atom_site_fract_x
_atom_site_fract_y
_atom_site_fract_z
_atom_site_occupancy
Sn1 Sn 0.000 0.000 0.500 1
Hg1 Hg 0.500 0.500 0.500 1
S1 S 0.000 0.000 0.000 1
# uncorrected formation energy: 273 meV/atom
# total energy: -3.015 eV per atom
# spin magnetization: 0.00 μB per atom
# ΔE to the lowest computed polymorph: 0.000 eV/f.u.

=====

# Ba2Zn2Ag7 (PBE, relaxed)
data_Ba2Zn2Ag7
_symmetry_space_group_name_H-M 'C 1 2/m 1'
_symmetry_Int_Tables_number 12
_symmetry_space_group_name_Hall '-C 2y'
_cell_length_a 11.707
_cell_length_b 8.923
_cell_length_c 5.811
_cell_angle_alpha 90.00
_cell_angle_beta 116.64
_cell_angle_gamma 90.00
loop_
_atom_site_label
_atom_site_type_symbol
_atom_site_fract_x
_atom_site_fract_y
_atom_site_fract_z
_atom_site_occupancy
Ba1 Ba 0.000 0.238 0.000 1
Zn1 Zn 0.233 0.500 0.478 1
Ag1 Ag 0.000 0.500 0.500 1
Ag2 Ag 0.175 0.244 0.656 1
Ag3 Ag 0.237 0.500 0.991 1
# total energy: -2.522 eV per atom
# spin magnetization: 0.00 μB per atom
# E_form: -0.126 eV per atom

=====

# BeCuPb (PBE, relaxed)
data_BeCuPb
_symmetry_space_group_name_H-M 'F -4 3 m'
_symmetry_Int_Tables_number 216
_symmetry_space_group_name_Hall 'F -4 2 3'
_cell_length_a 6.107
_cell_length_b 6.107
_cell_length_c 6.107
_cell_angle_alpha 90.00
_cell_angle_beta 90.00
_cell_angle_gamma 90.00
loop_
_atom_site_label
_atom_site_type_symbol
_atom_site_fract_x
_atom_site_fract_y
_atom_site_fract_z
_atom_site_occupancy
Be1 Be 0.000 0.000 0.000 1
Cu1 Cu 0.000 0.000 0.500 1
Pb1 Pb 0.250 0.250 0.250 1
# total energy: -3.193 eV per atom
# spin magnetization: 0.00 μB per atom
# ΔE to the lowest computed polymorph: 0.744 eV/f.u.
# E_form: 0.651 eV per atom

=====

# MgMn2Ir (PBE, relaxed)
data_MgMn2Ir
_symmetry_space_group_name_H-M 'P m m m'
_symmetry_Int_Tables_number 47
_symmetry_space_group_name_Hall '-P 2 2'
_cell_length_a 3.112
_cell_length_b 4.345
_cell_length_c 4.365
_cell_angle_alpha 90.00
_cell_angle_beta 90.00
_cell_angle_gamma 90.00
loop_
_atom_site_label
_atom_site_type_symbol
_atom_site_fract_x
_atom_site_fract_y
_atom_site_fract_z
_atom_site_occupancy
Mg1 Mg 0.000 0.000 0.000 1
Mn1 Mn 0.000 0.500 0.500 1
Mn2 Mn 0.500 0.500 0.000 1
Ir1 Ir 0.500 0.000 0.500 1
# total energy: -7.122 eV per atom
# spin magnetization: 1.77 μB per atom
# E_form: 0.076 eV per atom

=====

# Pu3TcGe5 (PBE, relaxed)
data_Pu3TcGe5
_symmetry_space_group_name_H-M 'P 63/m c m'
_symmetry_Int_Tables_number 193
_symmetry_space_group_name_Hall '-P 6c 2'
_cell_length_a 8.5250
_cell_length_b 8.5250
_cell_length_c 5.6875
_cell_angle_alpha 90.00
_cell_angle_beta 90.00
_cell_angle_gamma 120.00
loop_
_atom_site_label
_atom_site_type_symbol
_atom_site_fract_x
_atom_site_fract_y
_atom_site_fract_z
_atom_site_occupancy
Pu1 Pu 0.0000 0.3885 0.2500 1
Tc1 Tc 0.0000 0.0000 0.0000 1
Ge1 Ge 0.0000 0.2547 0.7500 1
Ge2 Ge 0.3333 0.6667 0.0000 1
# total energy: -8.912 eV per atom
# spin magnetization: 1.75 μB per atom
# E_form: -0.417 eV per atom

=====

# CsBe2HPb (PBE, relaxed)
data_CsBe2HPb
_symmetry_space_group_name_H-M 'P 4/m m m'
_symmetry_Int_Tables_number 123
_symmetry_space_group_name_Hall '-P 4 2'
_cell_length_a 4.561
_cell_length_b 4.561
_cell_length_c 7.057
_cell_angle_alpha 90.00
_cell_angle_beta 90.00
_cell_angle_gamma 90.00
loop_
_atom_site_label
_atom_site_type_symbol
_atom_site_fract_x
_atom_site_fract_y
_atom_site_fract_z
_atom_site_occupancy
Cs1 Cs 0.000 0.000 0.000 1
Be1 Be 0.000 0.500 0.500 1
H1 H 0.500 0.500 0.000 1
Pb1 Pb 0.500 0.500 0.500 1
# total energy: -2.206 eV per atom
# spin magnetization: 0.00 μB per atom

=====

# AcGa3 (PBE, relaxed)
data_AcGa3
_symmetry_space_group_name_H-M 'P m m n'
_symmetry_Int_Tables_number 59
_cell_length_a 4.574
_cell_length_b 6.578
_cell_length_c 6.278
_cell_angle_alpha 90.00
_cell_angle_beta 90.00
_cell_angle_gamma 90.00
loop_
_symmetry_equiv_pos_as_xyz
'x,y,z'
'-x,-y,-z'
'-x+1/2,-y+1/2,z'
'x+1/2,y+1/2,-z'
'x+1/2,-y,-z'
'-x+1/2,y,z'
'-x,y+1/2,-z'
'x,-y+1/2,z'
loop_
_atom_site_label
_atom_site_type_symbol
_atom_site_fract_x
_atom_site_fract_y
_atom_site_fract_z
_atom_site_occupancy
Ac1 Ac 0.250 0.250 0.119 1
Ga1 Ga 0.250 0.024 0.635 1
Ga2 Ga 0.250 0.750 0.291 1
# total energy: -3.785 eV per atom
# spin magnetization: 0.00 μB per atom
# ΔE to the lowest computed polymorph: 0.200 eV/f.u.
# E_form: -0.488 eV per atom

=====

# Y2TmTe (PBE, relaxed)
data_Y2TmTe
_symmetry_space_group_name_H-M 'C m c m'
_symmetry_Int_Tables_number 63
_symmetry_space_group_name_Hall '-C 2c 2'
_cell_length_a 3.941
_cell_length_b 12.172
_cell_length_c 9.735
_cell_angle_alpha 90.00
_cell_angle_beta 90.00
_cell_angle_gamma 90.00
loop_
_atom_site_label
_atom_site_type_symbol
_atom_site_fract_x
_atom_site_fract_y
_atom_site_fract_z
_atom_site_occupancy
Y1 Y 0.000 0.134 0.039 1
Tm1 Tm 0.000 0.442 0.250 1
Te1 Te 0.000 0.262 0.750 1
# uncorrected formation energy: -661 meV/atom
# total energy: -5.796 eV per atom
# spin magnetization: 0.00 μB per atom
# ΔE to the lowest computed polymorph: 0.000 eV/f.u.

=====

# CsNa3W (PBE, relaxed)
data_CsNa3W
_symmetry_space_group_name_H-M 'P m -3 m'
_symmetry_Int_Tables_number 221
_symmetry_space_group_name_Hall '-P 4 2 3'
_cell_length_a 6.238
_cell_length_b 6.238
_cell_length_c 6.238
_cell_angle_alpha 90.00
_cell_angle_beta 90.00
_cell_angle_gamma 90.00
loop_
_atom_site_label
_atom_site_type_symbol
_atom_site_fract_x
_atom_site_fract_y
_atom_site_fract_z
_atom_site_occupancy
Cs1 Cs 0.000 0.000 0.000 1
Na1 Na 0.000 0.500 0.500 1
W1 W 0.500 0.500 0.500 1
# total energy: -2.328 eV per atom
# spin magnetization: 1.06 μB per atom
# E_form: 1.225 eV per atom

=====

# V2ZnCo (PBE, relaxed)
data_V2ZnCo
_symmetry_space_group_name_H-M 'P 4/m m m'
_symmetry_Int_Tables_number 123
_symmetry_space_group_name_Hall '-P 4 2'
_cell_length_a 3.604
_cell_length_b 3.604
_cell_length_c 3.868
_cell_angle_alpha 90.00
_cell_angle_beta 90.00
_cell_angle_gamma 90.00
loop_
_atom_site_label
_atom_site_type_symbol
_atom_site_fract_x
_atom_site_fract_y
_atom_site_fract_z
_atom_site_occupancy
V1 V 0.000 0.500 0.000 1
Zn1 Zn 0.000 0.000 0.500 1
Co1 Co 0.500 0.500 0.500 1
# total energy: -6.673 eV per atom
# spin magnetization: 0.00 μB per atom
# E_form: -0.019 eV per atom

=====

# ScZn2Cl6 (PBE, relaxed)
data_ScZn2Cl6
_symmetry_space_group_name_H-M 'C 1 2/c 1'
_symmetry_Int_Tables_number 15
_symmetry_space_group_name_Hall '-C 2yc'
_cell_length_a 12.658
_cell_length_b 11.168
_cell_length_c 6.486
_cell_angle_alpha 90.00
_cell_angle_beta 100.03
_cell_angle_gamma 90.00
loop_
_atom_site_label
_atom_site_type_symbol
_atom_site_fract_x
_atom_site_fract_y
_atom_site_fract_z
_atom_site_occupancy
Sc1 Sc 0.000 0.080 0.250 1
Zn1 Zn 0.186 0.408 0.302 1
Cl1 Cl 0.120 0.241 0.124 1
Cl2 Cl 0.122 0.085 0.625 1
Cl3 Cl 0.131 0.420 0.621 1
# uncorrected formation energy: -1335 meV/atom
# total energy: -3.553 eV per atom
# spin magnetization: 0.11 μB per atom

=====

# NaGaS2O8 (PBE, relaxed)
data_NaGaS2O8
_symmetry_space_group_name_H-M 'C 1 2/m 1'
_symmetry_Int_Tables_number 12
_symmetry_space_group_name_Hall '-C 2y'
_cell_length_a 8.052
_cell_length_b 5.163
_cell_length_c 7.275
_cell_angle_alpha 90.00
_cell_angle_beta 91.30
_cell_angle_gamma 90.00
loop_
_atom_site_label
_atom_site_type_symbol
_atom_site_fract_x
_atom_site_fract_y
_atom_site_fract_z
_atom_site_occupancy
Na1 Na 0.000 0.000 0.000 1
Ga1 Ga 0.000 0.000 0.500 1
S1 S 0.143 0.500 0.284 1
O1 O 0.033 0.264 0.301 1
O2 O 0.218 0.500 0.105 1
O3 O 0.238 0.000 0.556 1
# uncorrected formation energy: -1575 meV/atom
# total energy: -5.930 eV per atom
# spin magnetization: 0.00 μB per atom
# ΔE to the lowest computed polymorph: 0.000 eV/f.u.

=====

# Pm8TeP3Se4 (PBE, relaxed)
data_Pm8TeP3Se4
_symmetry_space_group_name_H-M 'R -3 m'
_symmetry_Int_Tables_number 166
_symmetry_space_group_name_Hall '-R 3 2"'
_cell_length_a 8.4219
_cell_length_b 8.4219
_cell_length_c 20.6688
_cell_angle_alpha 90.00
_cell_angle_beta 90.00
_cell_angle_gamma 120.00
loop_
_atom_site_label
_atom_site_type_symbol
_atom_site_fract_x
_atom_site_fract_y
_atom_site_fract_z
_atom_site_occupancy
Pm1 Pm 0.0000 0.0000 0.2435 1
Pm2 Pm 0.0200 0.5100 0.7534 1
Te1 Te 0.0000 0.0000 0.5000 1
P1 P 0.0000 0.5000 0.5000 1
Se1 Se 0.0000 0.0000 0.0000 1
Se2 Se 0.0000 0.5000 0.0000 1
# uncorrected formation energy: -1735 meV/atom
# total energy: -6.192 eV per atom
# spin magnetization: 0.00 μB per atom

=====

# PdAu (PBE, relaxed)
data_PdAu
_symmetry_space_group_name_H-M 'P -6 m 2'
_symmetry_Int_Tables_number 187
_symmetry_space_group_name_Hall 'P -6 2'
_cell_length_a 2.8611
_cell_length_b 2.8611
_cell_length_c 4.7212
_cell_angle_alpha 90.00
_cell_angle_beta 90.00
_cell_angle_gamma 120.00
loop_
_atom_site_label
_atom_site_type_symbol
_atom_site_fract_x
_atom_site_fract_y
_atom_site_fract_z
_atom_site_occupancy
Pd1 Pd 0.0000 0.0000 0.0000 1
Au1 Au 0.3333 0.6667 0.5000 1
# total energy: -4.259 eV per atom
# spin magnetization: 0.00 μB per atom
# E_form: -0.024 eV per atom

=====

# HoTl2Te3 (PBE, relaxed)
data_HoTl2Te3
_symmetry_space_group_name_H-M 'C 1 2/m 1'
_symmetry_Int_Tables_number 12
_symmetry_space_group_name_Hall '-C 2y'
_cell_length_a 7.812
_cell_length_b 13.640
_cell_length_c 8.238
_cell_angle_alpha 90.00
_cell_angle_beta 107.55
_cell_angle_gamma 90.00
loop_
_atom_site_label
_atom_site_type_symbol
_atom_site_fract_x
_atom_site_fract_y
_atom_site_fract_z
_atom_site_occupancy
Ho1 Ho 0.000 0.171 0.000 1
Tl1 Tl 0.000 0.000 0.500 1
Tl2 Tl 0.000 0.337 0.500 1
Tl3 Tl 0.000 0.500 0.000 1
Te1 Te 0.222 0.000 0.215 1
Te2 Te 0.249 0.325 0.224 1
# uncorrected formation energy: -721 meV/atom
# total energy: -3.844 eV per atom
# spin magnetization: 0.00 μB per atom

=====

# MnTcIr (PBE, relaxed)
data_MnTcIr
_symmetry_space_group_name_H-M 'P m m a'
_symmetry_Int_Tables_number 51
_symmetry_space_group_name_Hall '-P 2a 2a'
_cell_length_a 4.839
_cell_length_b 2.725
_cell_length_c 6.637
_cell_angle_alpha 90.00
_cell_angle_beta 90.00
_cell_angle_gamma 90.00
loop_
_atom_site_label
_atom_site_type_symbol
_atom_site_fract_x
_atom_site_fract_y
_atom_site_fract_z
_atom_site_occupancy
Mn1 Mn 0.250 0.000 0.149 1
Tc1 Tc 0.000 0.000 0.500 1
Ir1 Ir 0.250 0.500 0.808 1
# total energy: -9.361 eV per atom
# spin magnetization: 1.00 μB per atom
# ΔE to the lowest computed polymorph: 0.542 eV/f.u.
# E_form: 0.105 eV per atom

=====

# Ta2InIrCl (PBE, relaxed)
data_Ta2InIrCl
_symmetry_space_group_name_H-M 'P 4/m m m'
_symmetry_Int_Tables_number 123
_symmetry_space_group_name_Hall '-P 4 2'
_cell_length_a 5.161
_cell_length_b 5.161
_cell_length_c 4.696
_cell_angle_alpha 90.00
_cell_angle_beta 90.00
_cell_angle_gamma 90.00
loop_
_atom_site_label
_atom_site_type_symbol
_atom_site_fract_x
_atom_site_fract_y
_atom_site_fract_z
_atom_site_occupancy
Ta1 Ta 0.000 0.500 0.000 1
In1 In 0.000 0.000 0.000 1
Ir1 Ir 0.500 0.500 0.500 1
Cl1 Cl 0.000 0.000 0.500 1
# uncorrected formation energy: 2386 meV/atom
# total energy: -5.045 eV per atom
# spin magnetization: 0.00 μB per atom

=====

# DyHo2Ag3 (PBE, relaxed)
data_DyHo2Ag3
_symmetry_space_group_name_H-M 'P 4/m m m'
_symmetry_Int_Tables_number 123
_symmetry_space_group_name_Hall '-P 4 2'
_cell_length_a 3.610
_cell_length_b 3.610
_cell_length_c 10.959
_cell_angle_alpha 90.00
_cell_angle_beta 90.00
_cell_angle_gamma 90.00
loop_
_atom_site_label
_atom_site_type_symbol
_atom_site_fract_x
_atom_site_fract_y
_atom_site_fract_z
_atom_site_occupancy
Dy1 Dy 0.000 0.000 0.000 1
Ho1 Ho 0.000 0.000 0.334 1
Ag1 Ag 0.500 0.500 0.168 1
Ag2 Ag 0.500 0.500 0.500 1
# total energy: -4.047 eV per atom
# spin magnetization: 0.00 μB per atom
# E_form: -0.328 eV per atom

=====

# CdOs2Rh (PBE, relaxed)
data_CdOs2Rh
_symmetry_space_group_name_H-M 'I m m 2'
_symmetry_Int_Tables_number 44
_symmetry_space_group_name_Hall 'I 2 -2'
_cell_length_a 2.779
_cell_length_b 4.741
_cell_length_c 9.777
_cell_angle_alpha 90.00
_cell_angle_beta 90.00
_cell_angle_gamma 90.00
loop_
_atom_site_label
_atom_site_type_symbol
_atom_site_fract_x
_atom_site_fract_y
_atom_site_fract_z
_atom_site_occupancy
Cd1 Cd 0.000 0.000 0.000 1
Os1 Os 0.000 0.000 0.515 1
Os2 Os 0.000 0.500 0.230 1
Rh1 Rh 0.000 0.500 0.774 1
# total energy: -7.130 eV per atom
# spin magnetization: 0.00 μB per atom
# E_form: 0.551 eV per atom